Entry 1:
AgOsRu2 | Alexandria via LeMat-Bulk | PBE-GGA | optimized geometry; space-group type = C2/m; DFT formation energy = 2.0 eV/f.u.; relative energy among the computed polymorphs = 0.2061 eV/atom; calculated total energy = -7.6702 eV per atom; DOS(E_F) = 4.6 states/eV/f.u.
1.0
4.546 -1.367 0.000
4.546 1.367 0.000
-0.791 0.000 4.794
Ag Os Ru
1 1 2
Cartesian
0.000 0.000 0.000
4.151 0.000 2.397
1.622 0.000 3.488
6.679 0.000 1.306


Entry 2:
AgOsRu2 | Alexandria via LeMat-Bulk | PBE-GGA | optimized geometry; space-group type = P4mm; DFT formation energy = 1.7 eV/f.u.; relative energy among the computed polymorphs = 0.1515 eV/atom; calculated total energy = -7.7248 eV per atom; DOS(E_F) = 5.3 states/eV/f.u.
1.0
2.720 0.000 0.000
0.000 2.720 0.000
0.000 0.000 8.089
Ag Os Ru
1 1 2
Cartesian
0.000 0.000 0.000
1.360 1.360 2.194
0.000 0.000 4.035
1.360 1.360 5.923


Entry 3:
Ag2OsRu | Alexandria via LeMat-Bulk | PBE-GGA | optimized geometry; space-group type = P2/m; DFT formation energy = 2.5 eV/f.u.; relative energy among the computed polymorphs = 0.3180 eV/atom; calculated total energy = -5.9158 eV per atom; DOS(E_F) = 4.6 states/eV/f.u.
1.0
4.765 0.000 0.000
0.000 2.741 0.000
-1.594 0.000 4.805
Ag Os Ru
2 1 1
Cartesian
0.000 0.000 0.000
2.382 1.371 0.000
-0.797 1.371 2.403
1.585 0.000 2.403


Entry 4:
AgOs2Ru | Alexandria via LeMat-Bulk | PBE-GGA | optimized geometry; space-group type = P4/mmm; DFT formation energy = 3.1 eV/f.u.; relative energy among the computed polymorphs = 0.4611 eV/atom; calculated total energy = -7.8710 eV per atom; DOS(E_F) = 5.2 states/eV/f.u.
1.0
3.881 0.000 0.000
0.000 3.881 0.000
0.000 0.000 3.962
Ag Os Ru
1 2 1
Cartesian
0.000 0.000 0.000
0.000 1.940 1.981
1.940 0.000 1.981
1.940 1.940 0.000


> Number 2 is which compound?

AgOsRu2


> Which formula does entry 3 have?

Ag2OsRu


> What is the calculated total energy in the fourth record?

-7.8710 eV per atom


> The lowest relative energy among the computed polymorphs belongs to which entry?

number 2